(1)
SnCN2 PBE-GGA relaxed; total magnetization = 0.0 μB/cell; total DFT energy (no corrections) = -117.0 eV per cell; crystal system = monoclinic; V = 16.8 Å³/atom; symmetry = C2/m
1.0
9.773 0.000 0.000
0.000 3.797 0.000
-1.489 0.000 7.235
Sn C N
4 4 8
Cartesian
1.841 0.000 1.896
1.556 1.898 5.339
6.728 1.898 1.896
6.443 0.000 5.339
-0.744 0.000 3.618
0.000 1.898 0.000
4.886 0.000 0.000
4.142 1.898 3.618
0.575 1.898 1.096
0.488 0.000 3.700
2.910 1.898 3.535
2.823 0.000 6.139
5.461 0.000 1.096
5.374 1.898 3.700
7.796 0.000 3.535
7.709 1.898 6.139


(2)
SnCN2 PBE-GGA relaxed; total magnetization = 0.0 μB/cell; total DFT energy (no corrections) = -87.2 eV per cell; crystal system = trigonal; V = 16.7 Å³/atom; N(E_F) = 0.0 states/eV/f.u.; symmetry = R-3m
1.0
3.902 0.000 0.000
-1.951 3.379 0.000
0.000 0.000 15.201
Sn C N
3 3 6
Cartesian
0.000 0.000 0.000
0.000 2.253 10.134
1.951 1.126 5.067
0.000 0.000 7.601
0.000 2.253 2.534
1.951 1.126 12.668
0.000 0.000 6.360
0.000 0.000 8.841
0.000 2.253 1.293
0.000 2.253 3.774
1.951 1.126 11.427
1.951 1.126 13.908


(3)
SnC3N PBE-GGA relaxed; total magnetization = 1.4 μB/cell; total DFT energy (no corrections) = -19.6 eV per cell; crystal system = cubic; ΔE to the lowest computed polymorph = 961 meV per atom; V = 16.9 Å³/atom; N(E_F) = 3.6 states/eV/f.u.; symmetry = Pm-3m
1.0
4.385 0.000 0.000
0.000 4.385 0.000
0.000 0.000 4.385
Sn C N
1 3 1
Cartesian
0.000 0.000 0.000
0.000 0.000 2.193
0.000 2.193 0.000
2.193 0.000 0.000
2.193 2.193 2.193


(4)
SnC3N PBE-GGA relaxed; total magnetization = 0.0 μB/cell; total DFT energy (no corrections) = -24.4 eV per cell; crystal system = cubic; ΔE to the lowest computed polymorph = 0 meV per atom; V = 10.0 Å³/atom; N(E_F) = 3.0 states/eV/f.u.; symmetry = Pm-3m
1.0
3.678 0.000 0.000
0.000 3.678 0.000
0.000 0.000 3.678
Sn C N
1 3 1
Cartesian
0.000 0.000 0.000
0.000 1.839 1.839
1.839 0.000 1.839
1.839 1.839 0.000
1.839 1.839 1.839


(5)
Sn2C3N6 PBE-GGA relaxed; total magnetization = 0.0 μB/cell; total DFT energy (no corrections) = -82.5 eV per cell; crystal system = monoclinic; V = 13.3 Å³/atom; N(E_F) = 1.4 states/eV/f.u.; symmetry = C2/m
1.0
8.172 -1.744 0.000
8.172 1.744 0.000
-0.744 0.000 5.123
Sn C N
2 3 6
Cartesian
1.857 0.000 0.293
13.743 0.000 4.830
-0.372 0.000 2.561
5.224 0.000 2.144
10.376 0.000 2.979
-0.536 0.000 3.786
5.334 0.000 0.909
5.037 0.000 3.363
10.563 0.000 1.760
10.266 0.000 4.214
16.136 0.000 1.337


(6)
SnCN2 PBE-GGA relaxed; total magnetization = 0.0 μB/cell; total DFT energy (no corrections) = -58.0 eV per cell; crystal system = hexagonal; V = 16.9 Å³/atom; N(E_F) = 0.4 states/eV/f.u.; symmetry = P6_3/mmc
1.0
3.937 0.000 0.000
-1.969 3.410 0.000
0.000 0.000 10.087
Sn C N
2 2 4
Cartesian
0.000 0.000 0.000
0.000 0.000 5.044
0.000 2.273 2.522
1.969 1.137 7.565
0.000 2.273 1.282
0.000 2.273 3.762
1.969 1.137 6.326
1.969 1.137 8.805


(7)
SnTeCN2 PBE-GGA relaxed; total magnetization = 1.9 μB/cell; total DFT energy (no corrections) = -21.1 eV per cell; crystal system = tetragonal; ΔE to the lowest computed polymorph = 108 meV per atom; V = 22.5 Å³/atom; N(E_F) = 3.5 states/eV/f.u.; symmetry = P4/mmm
1.0
3.901 0.000 0.000
0.000 3.901 0.000
0.000 0.000 7.384
Sn Te C N
1 1 1 2
Cartesian
0.000 0.000 0.000
0.000 0.000 3.692
1.951 1.951 3.692
0.000 1.951 0.000
1.951 0.000 0.000


(8)
Sn2TeCN PBE-GGA relaxed; total magnetization = 0.0 μB/cell; total DFT energy (no corrections) = -23.3 eV per cell; crystal system = tetragonal; V = 21.9 Å³/atom; N(E_F) = 3.6 states/eV/f.u.; symmetry = P4/mmm
1.0
6.344 0.000 0.000
0.000 6.344 0.000
0.000 0.000 2.724
Sn Te C N
2 1 1 1
Cartesian
0.000 3.172 0.000
3.172 0.000 0.000
0.000 0.000 1.362
3.172 3.172 0.000
3.172 3.172 1.362


(9)
SnTeCN2 PBE-GGA relaxed; total magnetization = 1.6 μB/cell; total DFT energy (no corrections) = -21.6 eV per cell; crystal system = tetragonal; ΔE to the lowest computed polymorph = 0 meV per atom; V = 14.5 Å³/atom; N(E_F) = 3.2 states/eV/f.u.; symmetry = P4/mmm
1.0
4.056 0.000 0.000
0.000 4.056 0.000
0.000 0.000 4.409
Sn Te C N
1 1 1 2
Cartesian
0.000 0.000 0.000
2.028 2.028 0.000
2.028 2.028 2.205
0.000 2.028 2.205
2.028 0.000 2.205


(10)
Th3SnCN PBE-GGA relaxed; total magnetization = 0.0 μB/cell; total DFT energy (no corrections) = -96.8 eV per cell; crystal system = monoclinic; V = 24.7 Å³/atom; N(E_F) = 2.3 states/eV/f.u.; symmetry = P2_1/m
1.0
8.333 0.000 0.000
0.000 4.012 0.000
-3.255 0.000 8.852
Th Sn C N
6 2 2 2
Cartesian
-0.841 1.003 3.170
-0.555 1.003 8.384
1.125 3.009 5.655
3.953 1.003 3.197
5.634 3.009 0.468
5.919 3.009 5.682
1.484 3.009 2.095
3.594 1.003 6.757
-0.608 1.003 5.638
5.687 3.009 3.213
0.499 3.009 7.905
4.579 1.003 0.947


(11)
TlSnC2N PBE-GGA relaxed; total magnetization = 3.4 μB/cell; total DFT energy (no corrections) = -18.6 eV per cell; crystal system = tetragonal; V = 17.6 Å³/atom; N(E_F) = 3.9 states/eV/f.u.; symmetry = P4/mmm
1.0
4.456 0.000 0.000
0.000 4.456 0.000
0.000 0.000 4.440
Tl Sn C N
1 1 2 1
Cartesian
0.000 0.000 0.000
2.228 2.228 2.220
0.000 2.228 0.000
2.228 0.000 0.000
0.000 0.000 2.220


(12)
YSnC2N PBE-GGA relaxed; total magnetization = 0.0 μB/cell; total DFT energy (no corrections) = -28.1 eV per cell; crystal system = tetragonal; V = 15.3 Å³/atom; N(E_F) = 1.7 states/eV/f.u.; symmetry = P4/mmm
1.0
4.219 0.000 0.000
0.000 4.219 0.000
0.000 0.000 4.297
Y Sn C N
1 1 2 1
Cartesian
0.000 0.000 0.000
2.109 2.109 0.000
0.000 2.109 2.149
2.109 0.000 2.149
0.000 0.000 2.149